Entry 1:
A relaxed Tm3NpPd12 crystal, computed with GGA-PBE.

Values from the calculation:
total magnetization: 2.71 Bohr magnetons per cell
ΔH_f (0 K): -77.9 kJ per mole of atoms
symmetry: No. 123
mass density: 12.14 g/cm3

a = 4.1062 Å, b = 4.1062 Å, c = 16.3879 Å
α = 90.00°, β = 90.00°, γ = 90.00°
Element x y z (fractional)
Tm1 0.0000 0.0000 0.0000
Tm2 0.0000 0.0000 0.2467
Tm3 0.0000 0.0000 0.7533
Np1 0.0000 0.0000 0.5000
Pd1 0.0000 0.5000 0.1250
Pd2 0.0000 0.5000 0.3763
Pd3 0.0000 0.5000 0.6237
Pd4 0.0000 0.5000 0.8750
Pd5 0.5000 0.0000 0.1250
Pd6 0.5000 0.0000 0.3763
Pd7 0.5000 0.0000 0.6237
Pd8 0.5000 0.0000 0.8750
Pd9 0.5000 0.5000 0.0000
Pd10 0.5000 0.5000 0.2501
Pd11 0.5000 0.5000 0.5000
Pd12 0.5000 0.5000 0.7499

---

Entry 2:
A relaxed Zr2ScPb crystal, computed with GGA-PBE.

Values from the calculation:
total magnetization: 0.00 Bohr magnetons per cell
ΔH_f (0 K): -5.8 kJ per mole of atoms
symmetry: No. 160
mass density: 7.41 g/cm3

a = 10.3197 Å, b = 10.3197 Å, c = 10.3197 Å
α = 18.57°, β = 18.57°, γ = 18.57°
Element x y z (fractional)
Zr1 0.0000 0.0000 0.0000
Zr2 0.2509 0.2509 0.2509
Sc1 0.7490 0.7490 0.7490
Pb1 0.4998 0.4998 0.4998

---

Entry 3:
A relaxed TeIO2 crystal, computed with GGA-PBE.

Values from the calculation:
total magnetization: 1.45 Bohr magnetons per cell
raw formation energy: -0.321 eV per atom
ΔE to the lowest computed polymorph: 0.0 kJ per mole of atoms
symmetry: No. 227
mass density: 4.79 g/cm3

a = 6.5498 Å, b = 6.5498 Å, c = 6.5498 Å
α = 60.00°, β = 60.00°, γ = 60.00°
Element x y z (fractional)
Te1 0.1250 0.1250 0.1250
Te2 0.8750 0.8750 0.8750
I1 0.3750 0.3750 0.3750
I2 0.6250 0.6250 0.6250
O1 0.0000 0.0000 0.0000
O2 0.0000 0.0000 0.5000
O3 0.0000 0.5000 0.0000
O4 0.5000 0.0000 0.0000

---

Entry 4:
A relaxed VCuPCl2 crystal, computed with GGA-PBE.

Values from the calculation:
total magnetization: 2.30 Bohr magnetons per cell
raw formation energy: 0.481 eV per atom
ΔE to the lowest computed polymorph: 34.4 kJ per mole of atoms
symmetry: No. 123
mass density: 3.54 g/cm3

a = 4.4713 Å, b = 4.4713 Å, c = 5.0730 Å
α = 90.00°, β = 90.00°, γ = 90.00°
Element x y z (fractional)
V1 0.0000 0.0000 0.0000
Cu1 0.5000 0.5000 0.5000
P1 0.5000 0.5000 0.0000
Cl1 0.0000 0.5000 0.5000
Cl2 0.5000 0.0000 0.5000

---

Entry 5:
A relaxed LiAcEu crystal, computed with GGA-PBE.

Values from the calculation:
total magnetization: 7.80 Bohr magnetons per cell
ΔH_f (0 K): 6.6 kJ per mole of atoms
ΔE to the lowest computed polymorph: 0.0 kJ per mole of atoms
symmetry: No. 107
mass density: 5.90 g/cm3

a = 7.2985 Å, b = 7.2985 Å, c = 7.2985 Å
α = 148.05°, β = 148.05°, γ = 45.82°
Element x y z (fractional)
Li1 0.0000 0.0000 0.0000
Ac1 0.6539 0.6539 0.0000
Eu1 0.3577 0.3577 0.0000

---

Entry 6:
A relaxed CdHgB3 crystal, computed with GGA-PBE.

Values from the calculation:
total magnetization: 0.00 Bohr magnetons per cell
ΔH_f (0 K): 212.5 kJ per mole of atoms
ΔE to the lowest computed polymorph: 0.0 kJ per mole of atoms
symmetry: No. 221
mass density: 6.45 g/cm3

a = 4.4634 Å, b = 4.4634 Å, c = 4.4634 Å
α = 90.00°, β = 90.00°, γ = 90.00°
Element x y z (fractional)
Cd1 0.0000 0.0000 0.0000
Hg1 0.5000 0.5000 0.5000
B1 0.0000 0.5000 0.5000
B2 0.5000 0.0000 0.5000
B3 0.5000 0.5000 0.0000

---

Entry 7:
A relaxed InReTe2 crystal, computed with GGA-PBE.

Values from the calculation:
total magnetization: 0.00 Bohr magnetons per cell
raw formation energy: 0.280 eV per atom
symmetry: No. 166
mass density: 8.70 g/cm3

a = 10.7485 Å, b = 10.7485 Å, c = 10.7485 Å
α = 18.24°, β = 18.24°, γ = 18.24°
Element x y z (fractional)
In1 0.0000 0.0000 0.0000
Re1 0.5000 0.5000 0.5000
Te1 0.1066 0.1066 0.1066
Te2 0.8934 0.8934 0.8934

---

Number 1: electronic total energy -6.3490 eV/atom. Number 2: electronic total energy -6.8440 eV/atom. Number 3: electronic total energy -3.9727 eV/atom. Number 4: electronic total energy -3.9825 eV/atom. Number 5: electronic total energy -5.3637 eV/atom. Number 6: electronic total energy -2.0479 eV/atom. Number 7: electronic total energy -5.0872 eV/atom.